The following is a DFT calculation (PBE-GGA) of a relaxed LiTe2SI crystal.

Calculated values
The total energy is -2.6384 eV/atom. For the energy above the most stable polymorph in this dataset, the calculation gives 0.000 eV per atom. As for the density of states at the Fermi level: 7.5 states/eV/f.u. For the formation energy without anion corrections, the calculation gives 0.7 eV/f.u.

Cell: 5.3369 5.3369 5.7021 Å, 90.00 90.00 90.00°
Space group P4/mmm (No. 123)
Inequivalent atoms, fractional coordinates:
Li 0.0000 0.0000 0.0000 (multiplicity 1)
Te 0.0000 0.5000 0.5000 (multiplicity 2)
S 0.5000 0.5000 0.5000 (multiplicity 1)
I 0.5000 0.5000 0.0000 (multiplicity 1)

---

The following is a DFT calculation (PBE-GGA) of a relaxed Li2TlSI crystal.

Calculated values
The total energy is -3.2479 eV/atom. As for the density of states at the Fermi level: 0.0 states/eV/f.u. For the formation energy without anion corrections, the calculation gives -4.4 eV/f.u.

Cell: 4.8114 4.8114 6.3231 Å, 90.00 90.00 90.00°
Space group P4/mmm (No. 123)
Inequivalent atoms, fractional coordinates:
Li 0.0000 0.5000 0.0000 (multiplicity 2)
Tl 0.0000 0.0000 0.5000 (multiplicity 1)
S 0.0000 0.0000 0.0000 (multiplicity 1)
I 0.5000 0.5000 0.5000 (multiplicity 1)

---

The following is a DFT calculation (PBE-GGA) of a relaxed LiSb2I6 crystal.

Calculated values
The total energy is -2.5002 eV/atom. As for the density of states at the Fermi level: 3.1 states/eV/f.u. For the formation energy without anion corrections, the calculation gives -3.0 eV/f.u.

Cell: 13.1725 15.2138 8.3929 Å, 90.00 98.35 90.00°
Space group C2/c (No. 15)
Inequivalent atoms, fractional coordinates:
Li 0.0000 0.0616 0.2500 (multiplicity 4)
Sb 0.1835 0.3653 0.2118 (multiplicity 8)
I 0.0792 0.3708 0.4748 (multiplicity 8)
I 0.1140 0.0647 0.5941 (multiplicity 8)
I 0.1720 0.1819 0.1547 (multiplicity 8)

---

The following is a DFT calculation (PBE-GGA) of a relaxed LiSbI4 crystal.

Calculated values
The total energy is -2.5654 eV/atom. For the energy above the most stable polymorph in this dataset, the calculation gives 0.086 eV per atom. As for the density of states at the Fermi level: 0.0 states/eV/f.u. For the formation energy without anion corrections, the calculation gives -3.2 eV/f.u.

Cell: 6.8970 6.8970 12.4663 Å, 90.00 90.00 90.00°
Space group I-4 (No. 82)
Inequivalent atoms, fractional coordinates:
Li 0.0000 0.0000 0.0000 (multiplicity 2)
Sb 0.0000 0.5000 0.2500 (multiplicity 2)
I 0.2427 0.2434 0.1192 (multiplicity 8)

---

The following is a DFT calculation (PBE-GGA) of a relaxed Li2SbI4 crystal.

Calculated values
The total energy is -2.6351 eV/atom. As for the density of states at the Fermi level: 0.4 states/eV/f.u. For the formation energy without anion corrections, the calculation gives -4.3 eV/f.u.

Cell: 7.4809 7.4809 9.1684 Å, 90.00 90.00 90.00°
Space group I-42m (No. 121)
Inequivalent atoms, fractional coordinates:
Li 0.0000 0.5000 0.2500 (multiplicity 4)
Sb 0.0000 0.0000 0.0000 (multiplicity 2)
I 0.2301 0.2301 0.6186 (multiplicity 8)

---

The following is a DFT calculation (PBE-GGA) of a relaxed LiSbI6 crystal.

Calculated values
The total energy is -2.2185 eV/atom. As for the density of states at the Fermi level: 4.6 states/eV/f.u. For the formation energy without anion corrections, the calculation gives -2.4 eV/f.u.

Cell: 6.8714 7.4338 7.9053 Å, 64.67 89.10 65.77°
Space group P-1 (No. 2)
Inequivalent atoms, fractional coordinates:
Li 0.0000 0.0000 0.0000 (multiplicity 1)
Sb 0.5000 0.0000 0.5000 (multiplicity 1)
I 0.2117 0.8452 0.7499 (multiplicity 2)
I 0.2533 0.1730 0.1045 (multiplicity 2)
I 0.2624 0.4677 0.4822 (multiplicity 2)

---

The following is a DFT calculation (PBE-GGA) of a relaxed Li3SbI crystal.

Calculated values
The total energy is -2.6947 eV/atom. For the energy above the most stable polymorph in this dataset, the calculation gives 0.000 eV per atom. As for the density of states at the Fermi level: 4.5 states/eV/f.u. For the formation energy without anion corrections, the calculation gives -2.1 eV/f.u.

Cell: 5.2955 5.2955 5.2955 Å, 90.00 90.00 90.00°
Space group Pm-3m (No. 221)
Inequivalent atoms, fractional coordinates:
Li 0.0000 0.0000 0.5000 (multiplicity 3)
Sb 0.0000 0.0000 0.0000 (multiplicity 1)
I 0.5000 0.5000 0.5000 (multiplicity 1)

---

The following is a DFT calculation (PBE-GGA) of a relaxed LiSb3I crystal.

Calculated values
The total energy is -2.7720 eV/atom. For the energy above the most stable polymorph in this dataset, the calculation gives 0.000 eV per atom. As for the density of states at the Fermi level: 5.3 states/eV/f.u. For the formation energy without anion corrections, the calculation gives 2.0 eV/f.u.

Cell: 5.1578 5.1578 5.1578 Å, 90.00 90.00 90.00°
Space group Pm-3m (No. 221)
Inequivalent atoms, fractional coordinates:
Li 0.0000 0.0000 0.0000 (multiplicity 1)
Sb 0.0000 0.0000 0.5000 (multiplicity 3)
I 0.5000 0.5000 0.5000 (multiplicity 1)

---

- Which of these has the highest density of states at the Fermi level?
  LiTe2SI